Li3MgNi3O8, optimized geometry, DFT GGA+U; ρ = 4.110 g/cm3; uncorrected energy = -4.87 eV/atom
1.0
4.9595 0.0000 0.0000
1.6422 4.8967 0.0000
0.0253 0.2606 5.8092
Li Mg Ni O
3 1 3 8
direct
0.0000 0.0000 0.0000 Li
0.0998 0.9981 0.4653 Li
0.5101 0.0175 0.7729 Li
0.0243 0.5123 0.7457 Mg
0.0272 0.5017 0.2421 Ni
0.5242 0.5133 0.9986 Ni
0.5289 0.4941 0.4964 Ni
0.2688 0.3055 0.0205 O
0.2810 0.2837 0.5113 O
0.2911 0.7458 0.7640 O
0.2918 0.7072 0.2412 O
0.7355 0.2939 0.7663 O
0.7665 0.7258 0.9860 O
0.7802 0.2864 0.2286 O
0.7896 0.6972 0.4653 O